No. 1
Compound: BeTl2Se
Source: the Alexandria database
Functional: GGA-PBE
Structure: optimized geometry

The structure in POSCAR format:
```
BeTl2Se
1.0
-2.258 2.258 4.896
2.258 -2.258 4.896
2.258 2.258 -4.896
Be Tl Se
1 2 1
direct
0.000 0.000 0.000
0.500 0.500 0.000
0.750 0.250 0.500
0.250 0.750 0.500
```

## Properties
ΔE to the lowest computed polymorph: 643 meV per atom
formation energy without anion corrections: 1.8 eV per formula unit


No. 2
Compound: Tc2AgSb
Source: the Alexandria database
Functional: GGA-PBE
Structure: optimized geometry

The structure in POSCAR format:
```
Tc2AgSb
1.0
-2.061 2.061 3.928
2.061 -2.061 3.928
2.061 2.061 -3.928
Tc Ag Sb
2 1 1
direct
0.000 0.000 0.000
0.750 0.250 0.500
0.250 0.750 0.500
0.500 0.500 0.000
```

## Properties
formation energy without anion corrections: 1.9 eV per formula unit